No. 1
Mg2FePt after structural relaxation. Source: Alexandria via LeMat-Bulk, functional PBE.

Unit cell a=4.777 b=4.777 c=4.955 alpha=79.96 beta=79.96 gamma=34.93
Positions (direct):
Fe 0.750 0.750 0.750
Pt 0.250 0.250 0.250
Mg 0.997 0.997 0.002
Mg 0.503 0.503 0.498

Properties
* space group: C2/m (12)
* uncorrected energy: -4.59 eV per atom
* ΔH_f (0 K): -0.7 eV/f.u.

No. 2
PrGa2PdRu after structural relaxation. Source: Alexandria via LeMat-Bulk, functional PBE.

Unit cell a=4.320 b=4.320 c=5.963 alpha=111.24 beta=111.24 gamma=90.00
Positions (direct):
Ga 0.627 0.627 0.254
Ga 0.373 0.373 0.746
Pd 0.750 0.250 0.500
Pr 0.000 0.000 0.000
Ru 0.250 0.750 0.500

Properties
* space group: I-4m2 (119)
* uncorrected energy: -5.69 eV per atom
* ΔH_f (0 K): -3.1 eV/f.u.

No. 3
NaPS2Cl after structural relaxation. Source: Alexandria via LeMat-Bulk, functional PBE.

Unit cell a=5.040 b=5.040 c=5.793 alpha=90.00 beta=90.00 gamma=90.00
Positions (direct):
Na 0.000 0.000 0.000
Cl 0.500 0.500 0.500
P 0.000 0.000 0.500
S 0.000 0.500 0.000
S 0.500 0.000 0.000

Properties
* space group: P4/mmm (123)
* uncorrected energy: -2.13 eV per atom
* formation energy without anion corrections: 1.23 eV/atom

no.,total moment (μB/f.u.)
1,2.82
2,0.00
3,4.93